Density functional theory data (GGA-PBE) for a geometry-optimized FeSe2N2 structure.

Formation energy from raw total energies = 1.579 eV per atom
Spin magnetization = 3.7 μB/f.u.
D(E_F) = 1.23 states/eV/atom
E above lowest polymorph = 165.2 kJ per mole of atoms
Space group = P4/mmm (123)

Lattice parameters (Å, degrees): 3.672 3.672 6.846 90.00 90.00 90.00
Element x y z (fractional)
1 Fe 0.500 0.500 0.500
2 Se 0.000 0.000 0.500
3 Se 0.000 0.000 0.000
4 N 0.000 0.500 0.000
5 N 0.500 0.000 0.000

Density functional theory data (GGA-PBE) for a geometry-optimized BeZnIn4 structure.

Spin magnetization = 0.0 μB/f.u.
D(E_F) = 0.60 states/eV/atom
Space group = F-43m (216)
Electronic total energy = -2.0172 eV per atom

Lattice parameters (Å, degrees): 6.068 6.068 6.068 60.00 60.00 60.00
Element x y z (fractional)
1 In 0.375 0.875 0.375
2 In 0.375 0.375 0.375
3 Zn 0.750 0.750 0.750
4 Be 0.000 0.000 0.000
5 In 0.875 0.375 0.375
6 In 0.375 0.375 0.875

Density functional theory data (GGA-PBE) for a geometry-optimized SmZnIr structure.

Spin magnetization = 0.0 μB/f.u.
D(E_F) = 0.70 states/eV/atom
Space group = C2/m (12)
Electronic total energy = -5.5299 eV per atom

Lattice parameters (Å, degrees): 4.233 5.567 6.083 74.87 69.64 67.65
Element x y z (fractional)
1 Ir 0.654 0.383 0.308
2 Sm 0.937 0.810 0.315
3 Zn 0.323 0.266 0.087
4 Zn 0.677 0.734 0.913
5 Ir 0.346 0.617 0.692
6 Sm 0.063 0.190 0.685

Density functional theory data (GGA-PBE) for a geometry-optimized YSiH structure.

Spin magnetization = 0.0 μB/f.u.
D(E_F) = 0.11 states/eV/atom
E above lowest polymorph = 31.7 kJ per mole of atoms
Space group = Pnma (62)

Lattice parameters (Å, degrees): 3.994 7.373 7.432 90.00 90.00 90.00
Element x y z (fractional)
1 Y 0.000 0.500 0.000
2 Si 0.000 0.750 0.661
3 Si 0.500 0.750 0.839
4 H 0.494 0.250 0.643
5 Y 0.000 0.000 0.000
6 Si 0.000 0.250 0.339
7 H 0.994 0.250 0.857
8 Y 0.500 0.000 0.500
9 Si 0.500 0.250 0.161
10 H 0.506 0.750 0.357
11 Y 0.500 0.500 0.500
12 H 0.006 0.750 0.143

Density functional theory data (GGA-PBE) for a geometry-optimized PmHgAs structure.

Spin magnetization = 0.0 μB/f.u.
D(E_F) = 0.39 states/eV/atom
E above lowest polymorph = 5.0 kJ per mole of atoms
Space group = C2/m (12)

Lattice parameters (Å, degrees): 4.534 5.208 8.407 75.91 90.00 115.81
Element x y z (fractional)
1 As 0.196 0.392 0.836
2 Pm 0.106 0.212 0.193
3 Hg 0.636 0.271 0.562
4 Pm 0.894 0.788 0.807
5 As 0.804 0.608 0.164
6 Hg 0.364 0.729 0.438

Density functional theory data (GGA-PBE) for a geometry-optimized Nd6AsSe3S2 structure.

Formation energy from raw total energies = -1.872 eV per atom
Spin magnetization = 0.0 μB/f.u.
D(E_F) = 0.33 states/eV/atom
Space group = C2/m (12)

Lattice parameters (Å, degrees): 4.163 8.435 9.388 103.63 102.81 90.00
Element x y z (fractional)
1 Nd 0.671 0.571 0.343
2 Nd 0.005 0.245 0.010
3 As 0.500 0.000 0.000
4 Se 0.834 0.168 0.669
5 Nd 0.665 0.097 0.329
6 Se 0.500 0.500 0.000
7 Se 0.166 0.832 0.331
8 S 0.833 0.666 0.666
9 Nd 0.329 0.429 0.657
10 Nd 0.335 0.903 0.671
11 S 0.167 0.334 0.334
12 Nd 0.995 0.755 0.990

Density functional theory data (GGA-PBE) for a geometry-optimized Pm2CuIr2 structure.

Spin magnetization = 0.0 μB/f.u.
D(E_F) = 0.66 states/eV/atom
E above lowest polymorph = 0.0 kJ per mole of atoms
Space group = Immm (71)

Lattice parameters (Å, degrees): 4.263 5.551 5.551 62.80 67.41 67.41
Element x y z (fractional)
1 Cu 0.500 0.500 0.000
2 Pm 0.298 0.202 0.702
3 Pm 0.702 0.798 0.298
4 Ir 0.000 0.764 0.736
5 Ir 0.000 0.236 0.264

Density functional theory data (GGA-PBE) for a geometry-optimized Cs2PdI6F structure.

Formation energy from raw total energies = -0.814 eV per atom
Spin magnetization = 0.0 μB/f.u.
D(E_F) = 0.77 states/eV/atom
Space group = I4/mmm (139)

Lattice parameters (Å, degrees): 7.772 7.772 8.324 62.17 62.17 90.00
Element x y z (fractional)
1 Pd 0.000 0.000 0.000
2 I 0.216 0.216 0.567
3 I 0.749 0.251 0.000
4 Cs 0.250 0.750 0.500
5 I 0.251 0.749 0.000
6 F 0.500 0.500 0.000
7 Cs 0.750 0.250 0.500
8 I 0.784 0.784 0.433
9 I 0.749 0.749 0.000
10 I 0.251 0.251 0.000